LiReSnTe2 | PBE | relaxed

Lattice parameters (Å, degrees): 5.0431 4.5718 5.0431 90.00 90.00 90.00
Last column: nearest neighbours and their distance in Å.
Sites, in units of the cell vectors:
Re 0.0000 0.5000 0.0000  2 Li 2.29
Te 0.0000 0.0000 0.5000  2 Li 2.52
Te 0.5000 0.0000 0.0000  2 Li 2.52
Sn 0.5000 0.5000 0.5000  8 Te 3.40, 4 Re 3.57
Li 0.0000 0.0000 0.0000  2 Re 2.29, 4 Te 2.52

## Properties
The calculation puts the formation energy (no corrections) at 1.006 eV/atom. As for the symmetry: P4/mmm, No. 123.



Sn2Bi2Se | PBE | relaxed

Lattice parameters (Å, degrees): 4.2759 4.2759 8.7073 75.79 75.79 90.00
Last column: nearest neighbours and their distance in Å.
Sites, in units of the cell vectors:
Bi 0.4037 0.4037 0.1926  1 Bi 3.15, 4 Sn 3.30, 4 Se 3.41
Bi 0.5963 0.5963 0.8074  1 Bi 3.15, 4 Sn 3.30, 4 Se 3.41
Se 0.0000 0.0000 0.0000  8 Bi 3.41
Sn 0.7500 0.2500 0.5000  4 Sn 3.02, 4 Bi 3.30
Sn 0.2500 0.7500 0.5000  4 Sn 3.02, 4 Bi 3.30

## Properties
The calculation puts the formation energy (no corrections) at 0.101 eV/atom. As for the symmetry: I4/mmm, No. 139. The calculation puts the excess energy over the best structure of this formula in the dataset at 0.0 meV per atom.



YAsOs2 | PBE | relaxed

Lattice parameters (Å, degrees): 4.6324 4.6324 4.6324 60.00 60.00 60.00
Last column: nearest neighbours and their distance in Å.
Sites, in units of the cell vectors:
Y 0.7500 0.7500 0.7500  4 As 2.84, 4 Os 2.84
As 0.5000 0.5000 0.5000  4 Os 2.84, 4 Y 2.84
Os 0.0000 0.0000 0.0000  4 Os 2.84, 4 Y 2.84
Os 0.2500 0.2500 0.2500  4 As 2.84, 4 Os 2.84

## Properties
Its formation energy is 1.68 eV/f.u. As for the symmetry: F-43m, No. 216.



AcTmPdSe3 | PBE | relaxed

Lattice parameters (Å, degrees): 4.1281 8.0501 9.4127 104.51 90.00 90.00
Last column: nearest neighbours and their distance in Å.
Sites, in units of the cell vectors:
Ac 0.2500 0.2050 0.2748  6 Se 3.10-3.18, 1 Pd 3.42
Ac 0.7500 0.7950 0.7252  6 Se 3.10-3.18, 1 Pd 3.42
Tm 0.2500 0.6873 0.1727  6 Se 2.75-2.91
Tm 0.7500 0.3127 0.8273  6 Se 2.75-2.91
Pd 0.2500 0.0911 0.6012  3 Se 2.57-2.72
Pd 0.7500 0.9089 0.3988  3 Se 2.57-2.72
Se 0.7500 0.9139 0.1269  1 Pd 2.57, 2 Tm 2.86
Se 0.2500 0.0861 0.8731  1 Pd 2.57, 2 Tm 2.86
Se 0.2500 0.7255 0.4715  3 Pd 2.72-2.89, 1 Tm 2.75
Se 0.7500 0.2745 0.5285  3 Pd 2.72-2.89, 1 Tm 2.75
Se 0.7500 0.4303 0.1459  3 Tm 2.89-2.91, 2 Ac 3.18
Se 0.2500 0.5697 0.8541  3 Tm 2.89-2.91, 2 Ac 3.18

## Properties
The calculation puts the formation energy (no corrections) at -1.621 eV/atom. As for the symmetry: P2_1/m, No. 11.



Number 1: uncorrected energy -0.1442 Ha/atom, density 8.099 g cm⁻³. Number 2: uncorrected energy -0.1378 Ha/atom, density 8.168 g cm⁻³. Number 3: uncorrected energy -0.2930 Ha/atom, density 12.858 g cm⁻³. Number 4: uncorrected energy -0.2080 Ha/atom, density 8.107 g cm⁻³.